Density functional theory data (PBE) for U3Co7B2 after structural relaxation.

CIF file:
```
data_U3Co7B2
_chemical_formula_sum 'U6 Co14 B4'
_space_group_name_H-M_alt 'P 63/m m c'
_space_group_IT_number 194
_space_group_name_Hall '-P 6c 2c'
_cell_length_a 4.9606
_cell_length_b 4.9606
_cell_length_c 13.9559
_cell_angle_alpha 90.00
_cell_angle_beta 90.00
_cell_angle_gamma 120.00
loop_
_atom_site_label
_atom_site_type_symbol
_atom_site_fract_x
_atom_site_fract_y
_atom_site_fract_z
U1 U 0.3333 0.6667 0.0305
U2 U 0.3333 0.6667 0.2500
Co1 Co 0.0000 0.0000 0.0000
Co2 Co 0.1653 0.3306 0.6466
B1 B 0.0000 0.0000 0.2500
B2 B 0.3333 0.6667 0.7500
```

- E: -8.441 eV/atom



Density functional theory data (PBE) for CsZrAu3S4 after structural relaxation.

CIF file:
```
data_CsZrAu3S4
_chemical_formula_sum 'Cs1 Zr1 Au3 S4'
_space_group_name_H-M_alt 'P -4 3 m'
_space_group_IT_number 215
_space_group_name_Hall 'P -4 2 3'
_cell_length_a 6.3816
_cell_length_b 6.3816
_cell_length_c 6.3816
_cell_angle_alpha 90.00
_cell_angle_beta 90.00
_cell_angle_gamma 90.00
loop_
_atom_site_label
_atom_site_type_symbol
_atom_site_fract_x
_atom_site_fract_y
_atom_site_fract_z
Cs1 Cs 0.0000 0.0000 0.0000
Zr1 Zr 0.5000 0.5000 0.5000
Au1 Au 0.0000 0.5000 0.5000
S1 S 0.2821 0.2821 0.2821
```

- Energy above the lowest structure with this stoichiometry: 43 meV/atom



Density functional theory data (PBE) for ScCoCu4As2 after structural relaxation.

CIF file:
```
data_ScCoCu4As2
_chemical_formula_sum 'Sc1 Co1 Cu4 As2'
_space_group_name_H-M_alt 'P 4/m m m'
_space_group_IT_number 123
_space_group_name_Hall '-P 4 2'
_cell_length_a 4.1186
_cell_length_b 4.1186
_cell_length_c 6.5591
_cell_angle_alpha 90.00
_cell_angle_beta 90.00
_cell_angle_gamma 90.00
loop_
_atom_site_label
_atom_site_type_symbol
_atom_site_fract_x
_atom_site_fract_y
_atom_site_fract_z
Sc1 Sc 0.0000 0.0000 0.0000
Co1 Co 0.5000 0.5000 0.5000
Cu1 Cu 0.0000 0.5000 0.2821
As1 As 0.0000 0.0000 0.5000
As2 As 0.5000 0.5000 0.0000
```

- Energy above the lowest structure with this stoichiometry: 0 meV/atom



Density functional theory data (PBE) for UBeNb after structural relaxation.

CIF file:
```
data_UBeNb
_chemical_formula_sum 'U4 Be4 Nb4'
_space_group_name_H-M_alt 'F -4 3 m'
_space_group_IT_number 216
_space_group_name_Hall 'F -4 2 3'
_cell_length_a 6.0160
_cell_length_b 6.0160
_cell_length_c 6.0160
_cell_angle_alpha 90.00
_cell_angle_beta 90.00
_cell_angle_gamma 90.00
loop_
_atom_site_label
_atom_site_type_symbol
_atom_site_fract_x
_atom_site_fract_y
_atom_site_fract_z
U1 U 0.0000 0.0000 0.0000
Be1 Be 0.2500 0.2500 0.7500
Nb1 Nb 0.0000 0.0000 0.5000
```

- Energy above the lowest structure with this stoichiometry: 0 meV/atom



Density functional theory data (PBE) for KTcAgTe3 after structural relaxation.

CIF file:
```
data_KTcAgTe3
_chemical_formula_sum 'K2 Tc2 Ag2 Te6'
_space_group_name_H-M_alt 'P 1 21/m 1'
_space_group_IT_number 11
_cell_length_a 8.7086
_cell_length_b 4.0234
_cell_length_c 10.5365
_cell_angle_alpha 90.00
_cell_angle_beta 111.88
_cell_angle_gamma 90.00
loop_
_space_group_symop_operation_xyz
'x,y,z'
'-x,-y,-z'
'-x,y+1/2,-z'
'x,-y+1/2,z'
loop_
_atom_site_label
_atom_site_type_symbol
_atom_site_fract_x
_atom_site_fract_y
_atom_site_fract_z
K1 K 0.2473 0.2500 0.2783
Tc1 Tc 0.3067 0.7500 0.8330
Ag1 Ag 0.0619 0.2500 0.6122
Te1 Te 0.1250 0.2500 0.8853
Te2 Te 0.2786 0.7500 0.5711
Te3 Te 0.4638 0.7500 0.1168
```

- Energy above the lowest structure with this stoichiometry: 0 meV/atom



Density functional theory data (PBE) for InHg3PtS4 after structural relaxation.

CIF file:
```
data_InHg3PtS4
_chemical_formula_sum 'In1 Hg3 Pt1 S4'
_space_group_name_H-M_alt 'P -4 3 m'
_space_group_IT_number 215
_space_group_name_Hall 'P -4 2 3'
_cell_length_a 6.0955
_cell_length_b 6.0955
_cell_length_c 6.0955
_cell_angle_alpha 90.00
_cell_angle_beta 90.00
_cell_angle_gamma 90.00
loop_
_atom_site_label
_atom_site_type_symbol
_atom_site_fract_x
_atom_site_fract_y
_atom_site_fract_z
In1 In 0.0000 0.0000 0.0000
Hg1 Hg 0.0000 0.5000 0.5000
Pt1 Pt 0.5000 0.5000 0.5000
S1 S 0.2419 0.2419 0.2419
```

- E: -2.845 eV/atom



Density functional theory data (PBE) for LiCu3GeTe4 after structural relaxation.

CIF file:
```
data_LiCu3GeTe4
_chemical_formula_sum 'Li1 Cu3 Ge1 Te4'
_space_group_name_H-M_alt 'P -4 3 m'
_space_group_IT_number 215
_space_group_name_Hall 'P -4 2 3'
_cell_length_a 6.1447
_cell_length_b 6.1447
_cell_length_c 6.1447
_cell_angle_alpha 90.00
_cell_angle_beta 90.00
_cell_angle_gamma 90.00
loop_
_atom_site_label
_atom_site_type_symbol
_atom_site_fract_x
_atom_site_fract_y
_atom_site_fract_z
Li1 Li 0.0000 0.0000 0.0000
Cu1 Cu 0.0000 0.5000 0.5000
Ge1 Ge 0.5000 0.5000 0.5000
Te1 Te 0.2458 0.2458 0.2458
```

- E: -3.431 eV/atom



Density functional theory data (PBE) for YRe2Tc after structural relaxation.

CIF file:
```
data_YRe2Tc
_chemical_formula_sum 'Y4 Re8 Tc4'
_space_group_name_H-M_alt 'F -4 3 m'
_space_group_IT_number 216
_space_group_name_Hall 'F -4 2 3'
_cell_length_a 6.4511
_cell_length_b 6.4511
_cell_length_c 6.4511
_cell_angle_alpha 90.00
_cell_angle_beta 90.00
_cell_angle_gamma 90.00
loop_
_atom_site_label
_atom_site_type_symbol
_atom_site_fract_x
_atom_site_fract_y
_atom_site_fract_z
Y1 Y 0.0000 0.0000 0.0000
Re1 Re 0.0000 0.0000 0.5000
Re2 Re 0.2500 0.2500 0.7500
Tc1 Tc 0.2500 0.2500 0.2500
```

- Energy of formation from the pure elements: 0.229 eV/atom



Density functional theory data (PBE) for Tm2Co12P7 after structural relaxation.

CIF file:
```
data_Tm2Co12P7
_chemical_formula_sum 'Tm2 Co12 P7'
_space_group_name_H-M_alt 'P -6'
_space_group_IT_number 174
_cell_length_a 8.9650
_cell_length_b 8.9650
_cell_length_c 3.5608
_cell_angle_alpha 90.00
_cell_angle_beta 90.00
_cell_angle_gamma 120.00
loop_
_space_group_symop_operation_xyz
'x,y,z'
'-x+y,-x,-z'
'-y,x-y,z'
'x,y,-z'
'-x+y,-x,z'
'-y,x-y,-z'
loop_
_atom_site_label
_atom_site_type_symbol
_atom_site_fract_x
_atom_site_fract_y
_atom_site_fract_z
Tm1 Tm 0.0000 0.0000 0.0000
Tm2 Tm 0.3333 0.6667 0.5000
Co1 Co 0.0497 0.7697 0.5000
Co2 Co 0.1012 0.3932 0.0000
Co3 Co 0.3931 0.2145 0.0000
Co4 Co 0.5342 0.0995 0.5000
P1 P 0.0740 0.6260 0.0000
P2 P 0.2626 0.0426 0.5000
P3 P 0.6667 0.3333 0.0000
```

- E: -7.100 eV/atom



Density functional theory data (PBE) for La2Nd2CI3Br2 after structural relaxation.

CIF file:
```
data_La2Nd2CI3Br2
_chemical_formula_sum 'La4 Nd4 C2 I6 Br4'
_space_group_name_H-M_alt 'C 1 2/m 1'
_space_group_IT_number 12
_cell_length_a 19.2002
_cell_length_b 4.0861
_cell_length_c 8.7996
_cell_angle_alpha 90.00
_cell_angle_beta 103.43
_cell_angle_gamma 90.00
loop_
_space_group_symop_operation_xyz
'x,y,z'
'-x,-y,-z'
'-x,y,-z'
'x,-y,z'
'x+1/2,y+1/2,z'
'-x+1/2,-y+1/2,-z'
'-x+1/2,y+1/2,-z'
'x+1/2,-y+1/2,z'
loop_
_atom_site_label
_atom_site_type_symbol
_atom_site_fract_x
_atom_site_fract_y
_atom_site_fract_z
La1 La 0.1388 0.0000 0.0755
Nd1 Nd 0.9996 0.5000 0.1954
C1 C 0.0000 0.0000 0.0000
I1 I 0.0000 0.0000 0.5000
I2 I 0.1699 0.5000 0.8102
Br1 Br 0.1578 0.5000 0.3359
```

- E: -4.937 eV/atom